Record 1
Compound: NaIn7Bi5
Source: Alexandria via LeMat-Bulk
Functional: PBE-GGA
Structure: optimized geometry

Computed properties:
energy of formation from the pure elements = 1 meV per atom
mass density = 7.9 g cm⁻³
crystal system = monoclinic

a b c (Å): 9.3139 9.3139 4.8580
angles (deg): 104.91 104.91 87.01
Last column: nearest neighbours and their distance in Å.
Fractional coordinates of all 13 atoms:
Na: 0.0000 0.0000 0.0000  6 Bi 3.31-3.57, 6 In 3.49-3.54
In: 0.2097 0.8094 0.5072  2 In 3.25-3.26, 5 Bi 3.34-3.50, 2 Na 3.53-3.54
In: 0.3751 0.3751 0.3759  4 Bi 3.23-3.48, 5 In 3.24-3.40
In: 0.3762 0.6381 0.0025  7 In 3.25-3.40, 2 Bi 3.33-3.42
In: 0.6311 0.6311 0.6289  7 In 3.22-3.36, 2 Bi 3.38
In: 0.6381 0.3762 0.0025  7 In 3.25-3.40, 2 Bi 3.33-3.42
In: 0.7995 0.7995 0.2975  2 In 3.22-3.24, 4 Bi 3.42-3.43, 2 Na 3.49-3.53
In: 0.8094 0.2097 0.5072  2 In 3.25-3.26, 5 Bi 3.34-3.50, 2 Na 3.53-3.54
Bi: 0.0063 0.6311 0.8152  2 Bi 3.22, 1 Na 3.32, 6 In 3.33-3.44
Bi: 0.0175 0.3968 0.2050  4 Bi 3.22-3.46, 4 In 3.23-3.50, 1 Na 3.57
Bi: 0.1793 0.1793 0.6795  2 Na 3.31-3.33, 4 In 3.34-3.48, 4 Bi 3.45-3.46
Bi: 0.3968 0.0175 0.2050  4 Bi 3.22-3.46, 4 In 3.23-3.50, 1 Na 3.57
Bi: 0.6311 0.0063 0.8152  2 Bi 3.22, 1 Na 3.32, 6 In 3.33-3.44

Record 2
Compound: ZrTa2Hg
Source: Alexandria via LeMat-Bulk
Functional: PBE-GGA
Structure: optimized geometry

Computed properties:
energy of formation from the pure elements = 54 meV per atom
mass density = 13.5 g cm⁻³
crystal system = tetragonal

a b c (Å): 3.4603 3.4603 6.6911
angles (deg): 90.00 90.00 90.00
Last column: nearest neighbours and their distance in Å.
Fractional coordinates of all 4 atoms:
Zr: 0.0000 0.0000 0.0000  5 Ta 2.98-3.09, 4 Hg 3.06
Ta: 0.0000 0.0000 0.5375  4 Ta 2.82, 4 Hg 3.02, 1 Zr 3.09
Ta: 0.5000 0.5000 0.7464  4 Ta 2.82, 4 Zr 2.98
Hg: 0.5000 0.5000 0.2735  5 Ta 3.02-3.16, 4 Zr 3.06

Record 3
Compound: SnSbTeO2
Source: Alexandria via LeMat-Bulk
Functional: PBE-GGA
Structure: optimized geometry

Computed properties:
mass density = 6.3 g cm⁻³
crystal system = tetragonal
calculated total energy = -21.97 eV for the cell shown

a b c (Å): 4.1553 4.1553 6.0937
angles (deg): 90.00 90.00 90.00
Last column: nearest neighbours and their distance in Å.
Fractional coordinates of all 5 atoms:
Sn: 0.0000 0.0000 0.0000  4 Sb 2.94, 2 Te 3.05
Sb: 0.5000 0.5000 0.0000  4 Sn 2.94
Te: 0.0000 0.0000 0.5000  4 O 2.08
O: 0.0000 0.5000 0.5000  2 Te 2.08
O: 0.5000 0.0000 0.5000  2 Te 2.08

Record 4
Compound: KNaSn2Rh
Source: Alexandria via LeMat-Bulk
Functional: PBE-GGA
Structure: optimized geometry

Computed properties:
energy of formation from the pure elements = -184 meV per atom
mass density = 4.5 g cm⁻³
crystal system = tetragonal

a b c (Å): 5.1324 5.1324 5.6447
angles (deg): 90.00 90.00 90.00
Last column: nearest neighbours and their distance in Å.
Fractional coordinates of all 5 atoms:
K: 0.0000 0.0000 0.0000  4 Na 3.63, 8 Sn 3.81
Na: 0.5000 0.5000 0.0000  2 Rh 2.82
Sn: 0.0000 0.5000 0.5000  2 Rh 2.57
Sn: 0.5000 0.0000 0.5000  2 Rh 2.57
Rh: 0.5000 0.5000 0.5000  4 Sn 2.57, 2 Na 2.82

> Number 1 is which compound?

NaIn7Bi5